Here is crystalline BaAcMn2O5 at its relaxed geometry from the Alexandria database. Energies are from PBE+U.

Lattice parameters (Å, degrees): 4.088 4.088 8.094 90.00 90.00 90.00
Space group P4/mmm (No. 123)
Asymmetric unit:
1 Ba 0.000 0.000 0.000 x1
2 Ac 0.000 0.000 0.500 x1
3 Mn 0.500 0.500 0.252 x2
4 O 0.000 0.500 0.300 x4
5 O 0.500 0.500 0.000 x1

* D(E_F): 1.9 states/eV per cell
* energy: -0.5476 Ry/atom
* volume: 15.03 A^3/atom
* size of the total moment: 9.0 μB/f.u.